Model A:
BiIN2 (PBE, relaxed); SG = Fm-3m (225); magnetization = 0.0 Bohr magnetons per cell
1.0
0.0000 3.1961 3.1961
3.1961 0.0000 3.1961
3.1961 3.1961 0.0000
I Bi N
1 1 2
Cartesian
0.0000 0.0000 0.0000 I
3.1961 3.1961 3.1961 Bi
1.5981 1.5981 1.5981 N
4.7942 4.7942 4.7942 N

Model B:
BiIN2 (PBE, relaxed); SG = R-3m (166); magnetization = 0.0 Bohr magnetons per cell
1.0
1.0612 6.4748 2.7917
4.3811 5.0593 2.4603
2.7575 6.5629 -0.4100
I Bi N
1 1 2
Cartesian
0.0000 0.0000 0.0000 I
4.0999 9.0485 2.4210 Bi
7.3054 16.1231 4.3139 N
0.8944 1.9739 0.5281 N

Model C:
BiIN2 (PBE, relaxed); SG = I-42d (122); magnetization = 0.0 Bohr magnetons per cell
1.0
-2.0355 -1.5471 -4.2918
2.7773 -4.1486 0.1783
-4.4000 -5.8973 1.3053
I Bi N
2 2 4
Cartesian
0.3709 -2.8479 -2.0568 I
-0.6259 -6.4469 -0.2866 I
0.0000 0.0000 0.0000 Bi
-3.0323 -5.1461 -2.5216 Bi
-1.9931 -2.9356 -2.2665 N
0.3495 -4.2848 -0.1660 N
-2.9783 -6.6239 -0.5608 N
-2.6945 -9.3417 -2.6232 N

Model D:
BiIN2 (PBE, relaxed); SG = R-3m (166); magnetization = 0.0 Bohr magnetons per cell
1.0
-4.2235 -2.7156 5.5727
-5.1570 -4.6505 2.8364
-2.2826 -5.4439 4.6283
I Bi N
1 1 2
Cartesian
-5.8315 -6.4049 6.5187 I
0.0000 0.0000 0.0000 Bi
-10.3509 -11.3687 11.5707 N
-1.3121 -1.4412 1.4668 N

model B is the most stable structure; the next one sits 0.429 eV/atom above it.

Model A:
BiI2N (PBE, relaxed); SG = C2/m (12); magnetization = 4.0 Bohr magnetons per cell
1.0
-3.4697 -2.1620 -1.6693
6.9289 -5.0799 -1.9817
0.3413 -6.0429 7.1182
Bi I N
2 4 2
Cartesian
3.8960 -6.2491 -0.0041 Bi
-0.0956 -7.0357 3.4714 Bi
0.8165 -5.6582 -0.2092 I
2.9839 -7.6266 3.6764 I
0.2893 -4.5970 5.3533 I
3.5111 -8.6878 -1.8860 I
3.9996 -4.9965 -1.8418 N
-0.1992 -8.2883 5.3090 N

Model B:
BiI2N (PBE, relaxed); SG = Fm-3m (225); magnetization = 2.1 Bohr magnetons per cell
1.0
0.2951 -2.1923 4.9570
-3.2888 -4.1006 1.3543
2.0169 -4.9986 0.6414
I Bi N
2 1 1
Cartesian
-0.2442 -2.8229 1.7382 I
-0.7327 -8.4686 5.2146 I
-0.4885 -5.6457 3.4764 Bi
0.0000 0.0000 0.0000 N

Model C:
BiI2N (PBE, relaxed); SG = I-42d (122); magnetization = 0.0 Bohr magnetons per cell
1.0
-4.8086 -4.3206 2.2540
0.8816 -3.8856 -5.5674
1.9193 -7.0359 1.0050
I Bi N
4 2 2
Cartesian
-1.2375 -3.8867 0.4119 I
-0.7481 -5.7859 -2.3945 I
0.1828 -9.3061 -1.8526 I
-2.2126 -11.5056 -0.7817 I
0.0000 0.0000 0.0000 Bi
-2.4264 -7.7298 0.8011 Bi
-1.9635 -4.1031 -1.6567 N
0.4187 -7.5123 -3.1096 N

model A is the most stable structure; the next one sits 0.369 eV/atom above it.

Model A:
NbBiIN2 (PBE, relaxed); SG = P4/mmm (123); magnetization = 0.0 Bohr magnetons per cell
1.0
-0.5359 4.1603 -0.7465
-2.5480 -0.9184 -3.2889
-4.4344 0.0430 3.4235
I Nb Bi N
1 1 1 2
Cartesian
-2.2172 0.0215 1.7117 I
0.0000 0.0000 0.0000 Nb
-3.7592 1.6425 -0.3060 Bi
-1.2740 -0.4592 -1.6444 N
-0.2680 2.0801 -0.3733 N

Model B:
NbBiIN2 (PBE, relaxed); SG = P4/mmm (123); magnetization = 3.9 Bohr magnetons per cell
1.0
-3.4340 1.0746 2.3969
2.2593 -0.8043 3.5974
2.0119 6.1704 0.1161
I Nb Bi N
1 1 1 2
Cartesian
1.0059 3.0852 0.0580 I
0.4186 3.2203 3.0552 Nb
0.0000 0.0000 0.0000 Bi
1.1296 -0.4022 1.7987 N
-1.7170 0.5373 1.1985 N

model A is the most stable structure; the next one sits 1.224 eV/atom above it.